1.
{"formula": "Ce2Nd3DyP6", "functional": "PBE", "state": "optimized geometry", "sg": "No. 12", "delta_e_f_mev_per_atom": -1545, "lattice_angstrom": [[-0.296, 1.669, 6.910], [6.069, -2.417, -2.820], [-0.086, 6.549, -2.806]], "species": ["Ce", "P", "P", "Nd", "P", "Nd", "P", "Dy", "P", "Nd", "Ce", "P"], "fractional_positions": [[0.333, 0.667, 0.000], [0.080, 0.413, 0.240], [0.413, 0.080, 0.240], [0.500, 0.500, 0.500], [0.920, 0.587, 0.760], [0.167, 0.833, 0.500], [0.253, 0.253, 0.758], [0.000, 0.000, 0.000], [0.747, 0.747, 0.242], [0.833, 0.167, 0.500], [0.667, 0.333, 0.000], [0.587, 0.920, 0.760]]}



2.
{"formula": "LiCeScFe", "functional": "PBE", "state": "optimized geometry", "sg": "No. 216", "delta_e_f_mev_per_atom": 80, "lattice_angstrom": [[4.711, 0.000, 0.000], [2.356, 4.080, 0.000], [2.356, 1.360, 3.847]], "species": ["Fe", "Sc", "Li", "Ce"], "fractional_positions": [[0.000, 0.000, 0.000], [0.750, 0.750, 0.750], [0.500, 0.500, 0.500], [0.250, 0.250, 0.250]]}



3.
{"formula": "UTi3Pd12", "functional": "PBE", "state": "optimized geometry", "sg": "No. 123", "delta_e_f_mev_per_atom": -586, "lattice_angstrom": [[-3.850, -1.051, -0.019], [0.714, -2.667, 2.882], [-3.071, 11.054, 10.992]], "species": ["Pd", "Pd", "Ti", "U", "Pd", "Ti", "Pd", "Pd", "Pd", "Pd", "Pd", "Ti", "Pd", "Pd", "Pd", "Pd"], "fractional_positions": [[0.000, 0.500, 0.621], [0.500, 0.500, 0.258], [0.000, 0.000, 0.257], [0.000, 0.000, 0.000], [0.500, 0.500, 0.000], [0.000, 0.000, 0.500], [0.500, 0.000, 0.136], [0.000, 0.500, 0.864], [0.000, 0.500, 0.379], [0.000, 0.500, 0.136], [0.500, 0.000, 0.864], [0.000, 0.000, 0.743], [0.500, 0.000, 0.379], [0.500, 0.000, 0.621], [0.500, 0.500, 0.742], [0.500, 0.500, 0.500]]}



4.
{"formula": "MgH4Rh2", "functional": "PBE", "state": "optimized geometry", "sg": "No. 141", "lattice_angstrom": [[-5.486, -1.274, -0.350], [1.302, -4.817, -2.634], [2.302, 1.182, 5.011]], "species": ["Rh", "H", "Mg", "H", "H", "Mg", "H", "Rh", "H", "H", "H", "H", "Rh", "Rh"], "fractional_positions": [[0.125, 0.375, 0.750], [0.808, 0.603, 0.205], [0.000, 0.000, 0.000], [0.398, 0.603, 0.795], [0.397, 0.192, 0.795], [0.250, 0.750, 0.500], [0.852, 0.147, 0.705], [0.625, 0.875, 0.250], [0.397, 0.602, 0.205], [0.853, 0.148, 0.295], [0.853, 0.558, 0.705], [0.442, 0.147, 0.295], [0.625, 0.375, 0.250], [0.625, 0.375, 0.750]]}



5.
{"formula": "CaSc2Au2", "functional": "PBE", "state": "optimized geometry", "de_polymorph_mev_per_atom": 29.0, "sg": "No. 139", "delta_e_f_mev_per_atom": -595, "lattice_angstrom": [[-3.282, -3.222, -0.042], [0.882, -0.955, 4.412], [-5.129, 1.891, 3.832]], "species": ["Sc", "Au", "Ca", "Sc", "Au"], "fractional_positions": [[0.750, 0.250, 0.500], [0.617, 0.617, 0.766], [0.000, 0.000, 0.000], [0.250, 0.750, 0.500], [0.383, 0.383, 0.234]]}



6.
{"formula": "YTm5Rh6", "functional": "PBE", "state": "optimized geometry", "sg": "No. 65", "delta_e_f_mev_per_atom": -949, "lattice_angstrom": [[-2.019, 2.055, -3.805], [-5.791, -3.382, 1.245], [-3.280, 6.433, 2.222]], "species": ["Tm", "Tm", "Y", "Rh", "Rh", "Tm", "Rh", "Rh", "Tm", "Tm", "Rh", "Rh"], "fractional_positions": [[0.000, 0.500, 0.000], [0.667, 0.500, 0.667], [0.000, 0.000, 0.000], [0.832, 0.252, 0.336], [0.168, 0.252, 0.664], [0.667, 0.000, 0.666], [0.832, 0.748, 0.336], [0.168, 0.748, 0.664], [0.333, 0.000, 0.334], [0.333, 0.500, 0.333], [0.500, 0.746, 0.000], [0.500, 0.254, 0.000]]}



7.
{"formula": "Cs3Ce3NbS8", "functional": "PBE", "state": "optimized geometry", "raw_formation_energy_ev_per_atom": -1.583, "sg": "No. 166", "lattice_angstrom": [[-7.122, -1.674, -3.521], [5.104, -6.022, 1.899], [-4.545, 3.932, 7.324]], "species": ["S", "Ce", "S", "Cs", "S", "Cs", "Cs", "S", "Ce", "S", "S", "S", "Ce", "S", "Nb"], "fractional_positions": [[0.271, 0.542, 0.313], [0.500, 0.500, 0.500], [0.748, 0.961, 0.674], [0.000, 0.000, 0.000], [0.213, 0.426, 0.674], [0.500, 0.500, 0.000], [0.000, 0.500, 0.000], [0.213, 0.961, 0.674], [0.000, 0.500, 0.500], [0.252, 0.039, 0.326], [0.787, 0.574, 0.326], [0.787, 0.039, 0.326], [0.500, 0.000, 0.500], [0.729, 0.458, 0.687], [0.000, 0.000, 0.500]]}



8.
{"formula": "SrFe2CoRe", "functional": "PBE", "state": "optimized geometry", "sg": "No. 123", "delta_e_f_mev_per_atom": 936, "lattice_angstrom": [[4.584, 0.000, 0.000], [0.000, 4.535, 0.000], [0.000, 0.000, 4.584]], "species": ["Re", "Fe", "Sr", "Fe", "Co"], "fractional_positions": [[0.000, 0.500, 0.000], [0.000, 0.000, 0.500], [0.500, 0.500, 0.500], [0.500, 0.000, 0.000], [0.000, 0.000, 0.000]]}



9.
{"formula": "AcSmY3Tm", "functional": "PBE", "state": "optimized geometry", "sg": "No. 12", "delta_e_f_mev_per_atom": 232, "lattice_angstrom": [[5.699, 0.000, 0.000], [-2.849, 9.949, 1.669], [0.000, -1.217, 7.238]], "species": ["Y", "Sm", "Tm", "Ac", "Y", "Sm", "Y", "Ac", "Y", "Tm", "Y", "Y"], "fractional_positions": [[0.780, 0.560, 0.748], [0.056, 0.111, 0.295], [0.348, 0.696, 0.537], [0.356, 0.713, 0.973], [0.835, 0.671, 0.281], [0.944, 0.889, 0.705], [0.220, 0.440, 0.252], [0.644, 0.287, 0.027], [0.478, 0.956, 0.280], [0.652, 0.304, 0.463], [0.522, 0.044, 0.720], [0.165, 0.329, 0.719]]}



10.
{"formula": "Pm2SmTm7", "functional": "PBE", "state": "optimized geometry", "de_polymorph_mev_per_atom": 143.5, "sg": "No. 65", "delta_e_f_mev_per_atom": 166, "lattice_angstrom": [[-0.368, -2.649, 2.262], [-1.281, -9.385, -11.201], [7.370, 7.628, 10.133]], "species": ["Tm", "Tm", "Tm", "Tm", "Tm", "Sm", "Tm", "Pm", "Pm", "Tm"], "fractional_positions": [[0.500, 0.500, 0.500], [0.500, 0.851, 0.654], [0.000, 0.184, 0.816], [0.000, 0.816, 0.184], [0.500, 0.346, 0.149], [0.000, 0.000, 0.000], [0.500, 0.149, 0.346], [0.500, 0.709, 0.291], [0.500, 0.291, 0.709], [0.500, 0.654, 0.851]]}



11.
{"formula": "AcPm5ErTm2", "functional": "PBE", "state": "optimized geometry", "sg": "No. 36", "delta_e_f_mev_per_atom": 85, "lattice_angstrom": [[5.783, 0.000, 0.000], [-2.892, 8.725, 0.000], [0.000, 0.000, 12.149]], "species": ["Er", "Pm", "Er", "Ac", "Pm", "Tm", "Tm", "Pm", "Pm", "Tm", "Pm", "Pm", "Tm", "Pm", "Pm", "Pm", "Pm", "Ac"], "fractional_positions": [[0.252, 0.504, 0.924], [0.422, 0.844, 0.766], [0.748, 0.496, 0.424], [0.385, 0.770, 0.424], [0.768, 0.536, 0.720], [0.888, 0.776, 0.923], [0.112, 0.224, 0.423], [0.060, 0.120, 0.072], [0.940, 0.880, 0.572], [0.938, 0.876, 0.278], [0.581, 0.161, 0.589], [0.578, 0.156, 0.266], [0.062, 0.124, 0.778], [0.419, 0.839, 0.089], [0.769, 0.538, 0.129], [0.232, 0.464, 0.220], [0.231, 0.462, 0.629], [0.615, 0.230, 0.924]]}



12.
{"formula": "PtI3Cl", "functional": "PBE", "state": "optimized geometry", "de_polymorph_mev_per_atom": 1367.7, "raw_formation_energy_ev_per_atom": 1.172, "sg": "No. 221", "lattice_angstrom": [[-3.896, -2.341, -3.312], [4.050, -1.990, -3.357], [0.225, -4.711, 3.064]], "species": ["I", "Pt", "Cl", "I", "I"], "fractional_positions": [[0.000, 0.000, 0.500], [0.500, 0.500, 0.500], [0.000, 0.000, 0.000], [0.000, 0.500, 0.000], [0.500, 0.000, 0.000]]}



13.
{"formula": "Na3PdAu8", "functional": "PBE", "state": "optimized geometry", "sg": "No. 160", "delta_e_f_mev_per_atom": -241, "lattice_angstrom": [[5.328, 0.000, 1.609], [2.421, 4.746, 1.609], [0.007, 0.004, 9.607]], "species": ["Au", "Na", "Pd", "Au", "Au", "Au", "Au", "Na", "Na", "Au", "Au", "Au"], "fractional_positions": [[0.939, 0.939, 0.682], [0.504, 0.504, 0.487], [0.870, 0.870, 0.390], [0.688, 0.688, 0.935], [0.936, 0.438, 0.189], [0.438, 0.936, 0.189], [0.939, 0.441, 0.682], [0.375, 0.375, 0.874], [0.994, 0.994, 0.019], [0.438, 0.438, 0.189], [0.188, 0.188, 0.435], [0.441, 0.939, 0.682]]}



14.
{"formula": "Eu5Lu", "functional": "PBE", "state": "optimized geometry", "sg": "No. 65", "delta_e_f_mev_per_atom": 83, "lattice_angstrom": [[6.039, 0.000, 0.000], [0.000, 6.070, 0.000], [0.000, -3.035, 6.341]], "species": ["Eu", "Eu", "Lu", "Eu", "Eu", "Eu"], "fractional_positions": [[0.500, 0.839, 0.679], [0.000, 0.663, 0.325], [0.000, 0.000, 0.000], [0.500, 0.161, 0.321], [0.000, 0.337, 0.675], [0.500, 0.500, 0.000]]}



15.
{"formula": "Cs3NaAg2F6", "functional": "PBE", "state": "optimized geometry", "raw_formation_energy_ev_per_atom": -2.020, "sg": "No. 164", "lattice_angstrom": [[6.732, 0.000, 0.000], [-3.366, 5.830, 0.000], [0.000, 0.000, 7.420]], "species": ["Ag", "Na", "Cs", "F", "F", "Cs", "F", "F", "Ag", "Cs", "F", "F"], "fractional_positions": [[0.667, 0.333, 0.824], [0.000, 0.000, 0.500], [0.667, 0.333, 0.364], [0.840, 0.679, 0.695], [0.679, 0.840, 0.305], [0.333, 0.667, 0.636], [0.321, 0.160, 0.695], [0.160, 0.840, 0.305], [0.333, 0.667, 0.176], [0.000, 0.000, 0.000], [0.840, 0.160, 0.695], [0.160, 0.321, 0.305]]}



16.
{"formula": "FeOsSe2", "functional": "PBE", "state": "optimized geometry", "de_polymorph_mev_per_atom": 107.5, "raw_formation_energy_ev_per_atom": 0.093, "sg": "No. 71", "lattice_angstrom": [[-3.100, 0.446, -6.289], [-5.010, -3.484, -3.482], [2.284, 3.158, 5.846]], "species": ["Fe", "Os", "Se", "Se"], "fractional_positions": [[0.250, 0.750, 0.500], [0.750, 0.250, 0.500], [0.380, 0.380, 0.000], [0.120, 0.120, 0.000]]}



17.
{"formula": "CsNbRh", "functional": "PBE", "state": "optimized geometry", "de_polymorph_mev_per_atom": 0.0, "sg": "No. 1", "delta_e_f_mev_per_atom": 247, "lattice_angstrom": [[3.228, 0.000, -0.001], [0.001, 4.139, 0.000], [0.386, 0.107, 13.702]], "species": ["Cs", "Nb", "Nb", "Rh", "Cs", "Rh"], "fractional_positions": [[0.836, 0.084, 0.257], [0.859, 0.094, 0.999], [0.876, 0.597, 0.870], [0.354, 0.592, 0.048], [0.907, 0.605, 0.611], [0.381, 0.098, 0.821]]}



18.
{"formula": "BeSeN", "functional": "PBE", "state": "optimized geometry", "raw_formation_energy_ev_per_atom": 0.052, "sg": "No. 8", "lattice_angstrom": [[4.642, 0.592, 0.106], [2.832, 3.725, 0.106], [1.762, 1.018, 5.515]], "species": ["N", "Be", "Be", "Se", "Se", "N"], "fractional_positions": [[0.314, 0.314, 0.310], [0.425, 0.425, 0.001], [0.392, 0.392, 0.524], [0.691, 0.691, 0.308], [0.105, 0.105, 0.973], [0.333, 0.333, 0.806]]}



19.
{"formula": "HoPaAgO6", "functional": "PBE", "state": "optimized geometry", "raw_formation_energy_ev_per_atom": -2.199, "sg": "No. 149", "lattice_angstrom": [[-1.764, 1.223, -4.431], [1.727, -4.790, -2.009], [-5.029, 0.426, 2.119]], "species": ["Ag", "O", "O", "O", "Ho", "Pa", "O", "O", "O"], "fractional_positions": [[0.500, 0.000, 0.000], [0.256, 0.664, 0.983], [0.744, 0.664, 0.680], [0.256, 0.017, 0.680], [0.500, 0.667, 0.333], [0.000, 0.333, 0.667], [0.744, 0.320, 0.983], [0.744, 0.017, 0.336], [0.256, 0.320, 0.336]]}



20.
{"formula": "CoPIr2", "functional": "PBE", "state": "optimized geometry", "de_polymorph_mev_per_atom": 338.1, "sg": "No. 119", "delta_e_f_mev_per_atom": 195, "lattice_angstrom": [[4.598, 0.020, 0.000], [1.556, 4.327, 0.000], [-3.077, -2.173, 2.637]], "species": ["Ir", "Co", "Ir", "P"], "fractional_positions": [[0.000, 0.000, 0.000], [0.750, 0.250, 0.500], [0.250, 0.750, 0.500], [0.500, 0.500, 0.000]]}



no.,DOS(E_F) (states/eV/atom),E (eV per atom)
1,0.833,-6.814
2,1.265,-5.581
3,0.741,-6.667
4,0.103,-4.410
5,0.648,-4.839
6,0.514,-7.026
7,1.220,-5.813
8,0.908,-6.696
9,1.658,-5.217
10,1.584,-4.386
11,1.531,-4.512
12,2.825,-1.336
13,0.417,-3.189
14,5.186,-9.232
15,0.000,-3.754
16,0.742,-6.573
17,0.837,-5.844
18,0.150,-5.127
19,0.497,-7.385
20,1.219,-7.364